Entry 1:
This record from the Alexandria database describes crystalline SbP2Se at its relaxed geometry. The functional is PBE.

Values from the calculation:
The value obtained for the magnetic moment is 0.0 μB per formula unit. Its raw total energy is -4.00 eV per atom. As for the energy above the most stable polymorph in this dataset: 469.3 meV per atom. The calculation puts the theoretical density at 5322 kg/m3. The density of states at the Fermi level is 0.677 states/eV per atom. The value obtained for the uncorrected formation energy is 0.60 eV/atom.

Cell lengths 3.650, 3.936, 5.705 Å; angles 90.00, 90.00, 90.00 degrees
Space group Pmmm (No. 47)
Inequivalent atoms, fractional coordinates:
Sb  0.000  0.000  0.000 x1
P  0.000  0.500  0.500 x1
P  0.500  0.500  0.000 x1
Se  0.500  0.000  0.500 x1

---

Entry 2:
This record from the Alexandria database describes crystalline SbPSe2 at its relaxed geometry. The functional is PBE.

Values from the calculation:
The value obtained for the magnetic moment is 0.0 μB per formula unit. Its raw total energy is -4.06 eV per atom. As for the energy above the most stable polymorph in this dataset: 62.5 meV per atom. The calculation puts the theoretical density at 4628 kg/m3. The density of states at the Fermi level is 0.224 states/eV per atom. The value obtained for the uncorrected formation energy is 0.06 eV/atom.

Cell lengths 5.558, 4.802, 16.706 Å; angles 90.00, 90.00, 90.00 degrees
Space group Pnma (No. 62)
Inequivalent atoms, fractional coordinates:
Sb  0.140  0.250  0.042 x4
P  0.151  0.750  0.397 x4
Se  0.019  0.750  0.157 x4
Se  0.050  0.250  0.371 x4

---

Entry 3:
This record from the Alexandria database describes crystalline SbPSe2 at its relaxed geometry. The functional is PBE.

Values from the calculation:
The value obtained for the magnetic moment is 0.0 μB per formula unit. Its raw total energy is -4.08 eV per atom. As for the energy above the most stable polymorph in this dataset: 39.6 meV per atom. The calculation puts the theoretical density at 4779 kg/m3. The density of states at the Fermi level is 0.225 states/eV per atom. The value obtained for the uncorrected formation energy is 0.04 eV/atom.

Cell lengths 4.683, 4.061, 5.898 Å; angles 90.00, 105.75, 90.00 degrees
Space group Pm (No. 6)
Inequivalent atoms, fractional coordinates:
Sb  0.000  0.000  0.000 x1
P  0.577  0.500  0.827 x1
Se  0.184  0.000  0.628 x1
Se  0.481  0.500  0.178 x1